Entry 1:
Density functional theory data (meta-GGA SCAN) for a crystal of InBS2 relaxed with PBEsol.

Cell lengths 6.360, 6.360, 6.360 Å; angles 90.00, 90.00, 90.00 degrees
Element x y z (fractional)
1 In 0.000 0.000 0.000
2 In 0.000 0.500 0.500
3 In 0.500 0.000 0.500
4 In 0.500 0.500 0.000
5 B 0.000 0.000 0.500
6 B 0.000 0.500 0.000
7 B 0.500 0.000 0.000
8 B 0.500 0.500 0.500
9 S 0.250 0.250 0.250
10 S 0.250 0.250 0.750
11 S 0.250 0.750 0.250
12 S 0.250 0.750 0.750
13 S 0.750 0.250 0.250
14 S 0.750 0.250 0.750
15 S 0.750 0.750 0.250
16 S 0.750 0.750 0.750

volume = 257 Å³ per cell
DOS at the Fermi energy = 0.350 states/eV/atom
raw formation energy = 0.9463 eV/atom
total energy = -14.0717 eV per atom


Entry 2:
Density functional theory data (meta-GGA SCAN) for a crystal of InSiBS2 relaxed with PBEsol.

Cell lengths 4.736, 4.736, 3.853 Å; angles 90.00, 90.00, 90.00 degrees
Element x y z (fractional)
1 In 0.000 0.000 0.000
2 Si 0.500 0.500 0.500
3 B 0.500 0.500 0.000
4 S 0.000 0.500 0.500
5 S 0.500 0.000 0.500

volume = 86 Å³ per cell
DOS at the Fermi energy = 0.440 states/eV/atom
raw formation energy = 0.3723 eV/atom
total energy = -13.6452 eV per atom


Entry 3:
Density functional theory data (meta-GGA SCAN) for a crystal of Sc3InB relaxed with PBEsol.

Cell lengths 4.638, 4.638, 4.638 Å; angles 90.00, 90.00, 90.00 degrees
Element x y z (fractional)
1 Sc 0.000 0.000 0.500
2 Sc 0.000 0.500 0.000
3 Sc 0.500 0.000 0.000
4 In 0.500 0.500 0.500
5 B 0.000 0.000 0.000

volume = 100 Å³ per cell
DFT formation energy = -517 meV/atom
DOS at the Fermi energy = 1.059 states/eV/atom
total energy = -17.2220 eV per atom


Which value of DOS at the Fermi energy does entry 3 give?
1.059 states/eV/atom


Which formula does entry 3 have?
Sc3InB